The following is a PBE calculation of FeReAs after structural relaxation, from Alexandria via LeMat-Bulk. Values from VASP.

Output
ΔH_f (0 K) = 0.3649 eV per atom
Energy = -8.155 eV/atom
E above lowest polymorph = 109.2 meV/atom
V = 41.6 Å³/cell

Geometry as Quantum ESPRESSO input:
```
&SYSTEM
  ibrav = 0, nat = 3, ntyp = 3
/
ATOMIC_SPECIES
As 74.92 As.upf
Fe 55.84 Fe.upf
Re 186.21 Re.upf
CELL_PARAMETERS angstrom
-2.4168 -2.1290 -3.0930
1.9152 -0.3025 -4.0225
0.6199 -1.0325 4.3000
ATOMIC_POSITIONS crystal
As 0.0026 0.0026 0.0000
Fe 0.3256 0.3256 0.0000
Re 0.6718 0.6718 0.0000
```